Run i
# LaS

Crystalline LaS at its relaxed geometry (PBE-GGA, the Alexandria database).

```
LaS
1.0
-2.0086 7.0584 2.8907
2.0086 -7.0584 2.8907
2.0086 7.0584 -2.8907
La S
3 3
Cartesian
0.0000 0.0000 0.0000 La
2.0086 -2.7560 2.5058 La
2.0086 2.7560 2.5058 La
2.0086 2.2040 -0.4207 S
2.0086 0.0000 2.2222 S
0.0000 4.8544 2.4700 S
```

Calculated values
Total magnetic moment, μB per atom: 0.000
DOS at the Fermi energy, states/eV/atom: 0.635

=====

Run ii
# LaS

Crystalline LaS at its relaxed geometry (PBE-GGA, the Alexandria database).

```
LaS
1.0
7.9307 0.0000 0.0000
0.0000 7.9307 0.0000
0.0000 0.0000 7.9307
La S
6 6
Cartesian
0.0000 1.9827 3.9654 La
0.0000 5.9481 3.9654 La
1.9827 3.9654 0.0000 La
3.9654 0.0000 1.9827 La
3.9654 0.0000 5.9481 La
5.9481 3.9654 0.0000 La
0.0000 3.9654 1.9827 S
0.0000 3.9654 5.9481 S
1.9827 0.0000 3.9654 S
3.9654 1.9827 0.0000 S
3.9654 5.9481 0.0000 S
5.9481 0.0000 3.9654 S
```

Calculated values
Total magnetic moment, μB per atom: 0.000
DOS at the Fermi energy, states/eV/atom: 0.886

=====

Run iii
# LaS

Crystalline LaS at its relaxed geometry (PBE-GGA, the Alexandria database).

```
LaS
1.0
4.9444 0.0000 0.0000
-2.4722 4.2819 0.0000
0.0000 0.0000 5.8300
La S
2 2
Cartesian
0.0000 2.8546 1.4575 La
2.4722 1.4273 4.3725 La
0.0000 2.8546 4.3725 S
2.4722 1.4273 1.4575 S
```

Calculated values
Total magnetic moment, μB per atom: 0.000
DOS at the Fermi energy, states/eV/atom: 0.937

=====

Run iv
# LaS

Crystalline LaS at its relaxed geometry (PBE-GGA, the Alexandria database).

```
LaS
1.0
-4.4018 4.4018 4.4018
4.4018 -4.4018 4.4018
4.4018 4.4018 -4.4018
La S
4 4
Cartesian
1.4830 1.4830 -1.4830 La
1.4830 -1.4830 1.4830 La
-1.4830 1.4830 1.4830 La
2.9188 2.9188 2.9188 La
3.0735 3.0735 -3.0735 S
3.0735 -3.0735 3.0735 S
1.3282 1.3282 1.3282 S
-3.0735 3.0735 3.0735 S
```

Calculated values
Total magnetic moment, μB per atom: 0.000
DOS at the Fermi energy, states/eV/atom: 1.270

=====

Stability verdict: run iii, ahead by 0.009 eV/atom

=====

Run i
# La5Sb4S

Crystalline La5Sb4S at its relaxed geometry (PBE-GGA, the Alexandria database).

```
La5Sb4S
1.0
-2.2664 3.2254 11.3525
2.2664 -3.2254 11.3525
2.2664 3.2254 -11.3525
La Sb S
5 4 1
Cartesian
0.0000 0.0000 0.0000 La
0.0000 0.0000 4.5780 La
0.0000 0.0000 9.2445 La
0.0000 0.0000 13.4604 La
0.0000 0.0000 18.1270 La
2.2664 0.0000 2.2558 Sb
2.2664 0.0000 6.9223 Sb
0.0000 3.2254 4.4302 Sb
0.0000 3.2254 9.0966 Sb
0.0000 3.2254 0.0000 S
```

Calculated values
Total magnetic moment, μB per atom: 0.000
DOS at the Fermi energy, states/eV/atom: 0.357

=====

Run ii
# La5Sb4S

Crystalline La5Sb4S at its relaxed geometry (PBE-GGA, the Alexandria database).

```
La5Sb4S
1.0
-5.0721 5.0721 3.2251
5.0721 -5.0721 3.2251
5.0721 5.0721 -3.2251
La Sb S
5 4 1
Cartesian
0.0000 0.0000 0.0000 La
4.0806 2.1357 0.0000 La
2.9364 -0.9915 3.2251 La
2.1357 6.0636 0.0000 La
0.9915 2.9364 3.2251 La
7.0934 0.9706 0.0000 Sb
0.9706 3.0508 0.0000 Sb
4.1015 2.0213 3.2251 Sb
-2.0213 4.1015 3.2251 Sb
0.0000 0.0000 3.2251 S
```

Calculated values
Total magnetic moment, μB per atom: 0.000
DOS at the Fermi energy, states/eV/atom: 0.287

=====

Stability verdict: run ii, ahead by 0.006 eV/atom

=====

Run i
# La2SbS5

Crystalline La2SbS5 at its relaxed geometry (PBE-GGA, the Alexandria database).

```
La2SbS5
1.0
7.7943 0.0000 0.0000
0.0000 11.4532 0.0000
0.0000 0.0000 4.1283
La Sb S
4 2 10
Cartesian
0.5321 1.9346 0.0000 La
3.3651 7.6612 0.0000 La
4.4292 3.7920 0.0000 La
7.2622 9.5186 0.0000 La
0.0000 5.7266 2.0641 Sb
3.8972 0.0000 2.0641 Sb
0.0000 0.0000 2.0641 S
1.1812 8.0908 2.0641 S
1.4888 4.9300 0.0000 S
2.4084 10.6566 0.0000 S
2.7160 2.3642 2.0641 S
3.8972 5.7266 2.0641 S
5.0783 9.0890 2.0641 S
5.3859 0.7966 0.0000 S
6.3056 6.5232 0.0000 S
6.6132 3.3624 2.0641 S
```

Calculated values
Total magnetic moment, μB per atom: 0.000
DOS at the Fermi energy, states/eV/atom: 0.184

=====

Run ii
# La2SbS5

Crystalline La2SbS5 at its relaxed geometry (PBE-GGA, the Alexandria database).

```
La2SbS5
1.0
2.6717 -7.1151 0.0000
2.6717 7.1151 0.0000
0.0000 0.0000 13.3389
La Sb S
4 2 10
Cartesian
2.6717 4.9905 7.5892 La
2.6717 4.9905 12.4193 La
2.6717 -4.9905 0.9197 La
2.6717 -4.9905 5.7498 La
2.6717 4.7449 3.3347 Sb
2.6717 -4.7449 10.0042 Sb
2.6717 6.4657 1.5129 S
2.6717 6.4657 5.1566 S
2.6717 3.1207 10.0042 S
2.6717 2.9822 1.2018 S
2.6717 2.9822 5.4677 S
2.6717 -2.9822 7.8713 S
2.6717 -2.9822 12.1372 S
2.6717 -3.1207 3.3347 S
2.6717 -6.4657 8.1824 S
2.6717 -6.4657 11.8261 S
```

Calculated values
Total magnetic moment, μB per atom: 0.000
DOS at the Fermi energy, states/eV/atom: 0.350

=====

Stability verdict: run i, ahead by 0.145 eV/atom

=====

Run i
# La4SeS3

Crystalline La4SeS3 at its relaxed geometry (PBE-GGA, the Alexandria database).

```
La4SeS3
1.0
4.2153 -5.9421 0.0000
4.2153 5.9421 0.0000
0.0000 0.0000 4.1781
La Se S
4 1 3
Cartesian
2.0057 0.0000 2.0891 La
4.2153 3.0416 0.0000 La
4.2153 -3.0416 0.0000 La
6.4249 0.0000 2.0891 La
4.2153 0.0000 0.0000 Se
0.0000 0.0000 0.0000 S
2.1077 2.9710 2.0891 S
2.1077 -2.9710 2.0891 S
```

Calculated values
Total magnetic moment, μB per atom: 0.000
DOS at the Fermi energy, states/eV/atom: 0.573

=====

Run ii
# La4SeS3

Crystalline La4SeS3 at its relaxed geometry (PBE-GGA, the Alexandria database).

```
La4SeS3
1.0
5.9408 0.0000 0.0000
0.0000 5.9408 0.0000
0.0000 0.0000 5.9408
La Se S
4 1 3
Cartesian
0.0000 0.0000 0.0000 La
0.0000 2.9704 2.9704 La
2.9704 0.0000 2.9704 La
2.9704 2.9704 0.0000 La
2.9704 2.9704 2.9704 Se
0.0000 0.0000 2.9704 S
0.0000 2.9704 0.0000 S
2.9704 0.0000 0.0000 S
```

Calculated values
Total magnetic moment, μB per atom: 0.000
DOS at the Fermi energy, states/eV/atom: 0.745

=====

Stability verdict: run i, ahead by 0.019 eV/atom